[1]
Material: BeRu2W
Method: DFT, PBEsol
State: relaxed

Unit cell a=4.186 b=4.186 c=4.186 alpha=60.00 beta=60.00 gamma=60.00
Fractional coordinates of all 4 atoms:
Be 0.000 0.000 0.000
Ru 0.250 0.250 0.250
Ru 0.750 0.750 0.750
W 0.500 0.500 0.500

Computed properties:
- Energy of formation: -179 meV/atom
- E: -9.7176 eV per atom
- Fermi-level density of states: 0.55 states/eV per cell
- Total moment: 0.00 Bohr magnetons per cell
- Calculated density: 12.650 g cm⁻³
- Polymorph energy (0 for the lowest one): 0.000 eV per atom

[2]
Material: Be4RuW
Method: DFT, PBEsol
State: relaxed

Unit cell a=4.354 b=4.354 c=4.354 alpha=60.00 beta=60.00 gamma=60.00
Fractional coordinates of all 6 atoms:
Be 0.377 0.377 0.377
Be 0.377 0.377 0.870
Be 0.377 0.870 0.377
Be 0.870 0.377 0.377
Ru 0.000 0.000 0.000
W 0.750 0.750 0.750

Computed properties:
- Energy of formation: -303 meV/atom
- E: -6.9668 eV per atom
- Fermi-level density of states: 2.34 states/eV per cell
- Total moment: 0.00 Bohr magnetons per cell
- Calculated density: 9.132 g cm⁻³

[3]
Material: BeRu2W
Method: DFT, PBEsol
State: relaxed

Unit cell a=2.960 b=2.960 c=5.805 alpha=90.00 beta=90.00 gamma=90.00
Fractional coordinates of all 4 atoms:
Be 0.000 0.000 0.000
Ru 0.500 0.500 0.227
Ru 0.500 0.500 0.773
W 0.000 0.000 0.500

Computed properties:
- Energy of formation: -173 meV/atom
- E: -9.7109 eV per atom
- Fermi-level density of states: 2.25 states/eV per cell
- Total moment: 0.00 Bohr magnetons per cell
- Calculated density: 12.896 g cm⁻³
- Polymorph energy (0 for the lowest one): 0.007 eV per atom

[4]
Material: BeRu2W
Method: DFT, PBEsol
State: relaxed

Unit cell a=8.435 b=8.435 c=8.435 alpha=18.43 beta=18.43 gamma=18.43
Fractional coordinates of all 4 atoms:
Be 0.000 0.000 0.000
Ru 0.260 0.260 0.260
Ru 0.506 0.506 0.506
W 0.751 0.751 0.751

Computed properties:
- Energy of formation: 212 meV/atom
- E: -9.3264 eV per atom
- Fermi-level density of states: 4.19 states/eV per cell
- Total moment: 0.00 Bohr magnetons per cell
- Calculated density: 12.523 g cm⁻³
- Polymorph energy (0 for the lowest one): 0.391 eV per atom

What did the second record say?
Material: Be4RuW
Method: DFT, PBEsol
State: relaxed

Unit cell a=4.354 b=4.354 c=4.354 alpha=60.00 beta=60.00 gamma=60.00
Fractional coordinates of all 6 atoms:
Be 0.377 0.377 0.377
Be 0.377 0.377 0.870
Be 0.377 0.870 0.377
Be 0.870 0.377 0.377
Ru 0.000 0.000 0.000
W 0.750 0.750 0.750

Computed properties:
- Energy of formation: -303 meV/atom
- E: -6.9668 eV per atom
- Fermi-level density of states: 2.34 states/eV per cell
- Total moment: 0.00 Bohr magnetons per cell
- Calculated density: 9.132 g cm⁻³